Here is CsPrCdBr6 after structural relaxation from Alexandria. Energies are from GGA-PBE.

Computed properties:
DOS at the Fermi energy: 0.0 states/eV per cell
E_form (uncorrected): -1.537 eV/atom
Space-group type: P-31c (163)

POSCAR file:
```
CsPrCdBr6
1.0
-3.701 6.005 -2.586
-0.516 -6.571 -3.606
-12.648 -3.932 8.972
Cs Pr Cd Br
2 2 2 12
Direct
0.000 0.000 0.000
0.000 0.000 0.500
0.333 0.667 0.250
0.667 0.333 0.750
0.667 0.333 0.250
0.333 0.667 0.750
0.622 0.611 0.145
0.989 0.378 0.145
0.378 0.989 0.645
0.011 0.622 0.855
0.389 0.378 0.355
0.989 0.611 0.355
0.611 0.989 0.855
0.622 0.011 0.355
0.011 0.389 0.645
0.389 0.011 0.145
0.611 0.622 0.645
0.378 0.389 0.855
```